Record 1
Entry from Alexandria via LeMat-Bulk: a relaxed LiSc7Pd4 crystal (PBE).

a = 4.984 Å, b = 8.068 Å, c = 6.987 Å
α = 75.14°, β = 69.10°, γ = 72.01°
Fractional coordinates of all 12 atoms:
Li 0.000 0.000 0.000
Sc 0.935 0.377 0.754
Sc 0.500 0.000 0.000
Sc 0.697 0.352 0.253
Sc 0.065 0.623 0.246
Sc 0.783 0.881 0.552
Sc 0.217 0.119 0.448
Sc 0.303 0.648 0.747
Pd 0.434 0.777 0.354
Pd 0.695 0.658 0.952
Pd 0.305 0.342 0.048
Pd 0.566 0.223 0.646

Energy of formation from the pure elements = -0.426 eV per atom
Space group = No. 12
Uncorrected energy = -6.0096 eV/atom

***

Record 2
Entry from Alexandria via LeMat-Bulk: a relaxed LiScPd3 crystal (PBE).

a = 3.973 Å, b = 5.577 Å, c = 8.762 Å
α = 122.89°, β = 103.10°, γ = 90.00°
Fractional coordinates of all 10 atoms:
Pd 0.998 0.747 0.996
Pd 0.795 0.923 0.591
Pd 0.205 0.077 0.409
Pd 0.002 0.253 0.004
Pd 0.396 0.821 0.793
Pd 0.604 0.179 0.207
Sc 0.393 0.314 0.786
Sc 0.607 0.686 0.214
Li 0.794 0.449 0.589
Li 0.206 0.551 0.411

Energy of formation from the pure elements = -0.654 eV per atom
Space group = No. 12
Uncorrected energy = -5.4183 eV/atom

***

Record 3
Entry from Alexandria via LeMat-Bulk: a relaxed Li2ScPd crystal (PBE).

a = 3.783 Å, b = 3.783 Å, c = 10.544 Å
α = 79.67°, β = 79.67°, γ = 90.00°
Fractional coordinates of all 8 atoms:
Li 0.875 0.336 0.750
Li 0.664 0.625 0.250
Li 0.375 0.914 0.750
Li 0.086 0.125 0.250
Pd 0.000 0.000 0.000
Pd 0.750 0.250 0.500
Sc 0.250 0.750 0.500
Sc 0.500 0.500 0.000

Energy of formation from the pure elements = -0.237 eV per atom
Space group = No. 122
Uncorrected energy = -4.0745 eV/atom

***

Record 4
Entry from Alexandria via LeMat-Bulk: a relaxed Li2ScPd8 crystal (PBE).

a = 3.980 Å, b = 6.265 Å, c = 7.313 Å
α = 106.14°, β = 105.79°, γ = 90.00°
Fractional coordinates of all 11 atoms:
Pd 0.682 0.916 0.365
Pd 0.140 0.193 0.281
Pd 0.860 0.807 0.719
Pd 0.405 0.540 0.810
Pd 0.595 0.460 0.190
Pd 0.046 0.727 0.092
Pd 0.318 0.084 0.635
Pd 0.954 0.273 0.908
Li 0.227 0.646 0.455
Li 0.773 0.354 0.545
Sc 0.500 0.000 0.000

Energy of formation from the pure elements = -0.462 eV per atom
Space group = No. 12
Uncorrected energy = -5.1622 eV/atom

***

Record 5
Entry from Alexandria via LeMat-Bulk: a relaxed Li6ScPd12 crystal (PBE).

a = 7.320 Å, b = 7.320 Å, c = 7.320 Å
α = 110.96°, β = 110.96°, γ = 110.96°
Fractional coordinates of all 19 atoms:
Li 0.435 0.640 0.946
Li 0.054 0.565 0.360
Li 0.565 0.360 0.054
Li 0.946 0.435 0.640
Li 0.640 0.946 0.435
Li 0.360 0.054 0.565
Pd 0.833 0.265 0.899
Pd 0.522 0.790 0.685
Pd 0.790 0.685 0.522
Pd 0.210 0.315 0.478
Pd 0.478 0.210 0.315
Pd 0.167 0.735 0.101
Pd 0.899 0.833 0.265
Pd 0.315 0.478 0.210
Pd 0.685 0.522 0.790
Pd 0.101 0.167 0.735
Pd 0.265 0.899 0.833
Pd 0.735 0.101 0.167
Sc 0.000 0.000 0.000

Energy of formation from the pure elements = -0.432 eV per atom
Space group = No. 148
Uncorrected energy = -4.6497 eV/atom

***

Record 6
Entry from Alexandria via LeMat-Bulk: a relaxed Li2Sc3Pd8 crystal (PBE).

a = 5.346 Å, b = 5.346 Å, c = 9.444 Å
α = 73.56°, β = 73.56°, γ = 60.00°
Fractional coordinates of all 13 atoms:
Pd 0.730 0.229 0.311
Pd 0.771 0.270 0.689
Pd 0.270 0.771 0.689
Pd 0.282 0.282 0.153
Pd 0.270 0.270 0.689
Pd 0.718 0.718 0.847
Pd 0.229 0.730 0.311
Pd 0.730 0.730 0.311
Sc 0.188 0.188 0.435
Sc 0.812 0.812 0.565
Sc 0.000 0.000 0.000
Li 0.634 0.634 0.098
Li 0.366 0.366 0.902

Energy of formation from the pure elements = -0.524 eV per atom
Space group = No. 166
Uncorrected energy = -5.4754 eV/atom

***

Record 7
Entry from Alexandria via LeMat-Bulk: a relaxed Li2ScPd crystal (PBE).

a = 4.480 Å, b = 4.480 Å, c = 4.480 Å
α = 60.00°, β = 60.00°, γ = 60.00°
Fractional coordinates of all 4 atoms:
Pd 0.500 0.500 0.500
Sc 0.000 0.000 0.000
Li 0.750 0.750 0.750
Li 0.250 0.250 0.250

Energy of formation from the pure elements = -0.191 eV per atom
Space group = No. 225
Uncorrected energy = -4.0293 eV/atom

***

Record 8
Entry from Alexandria via LeMat-Bulk: a relaxed LiScPd3 crystal (PBE).

a = 4.812 Å, b = 4.812 Å, c = 4.812 Å
α = 90.00°, β = 90.00°, γ = 90.00°
Fractional coordinates of all 5 atoms:
Pd 0.000 0.500 0.000
Pd 0.000 0.000 0.500
Pd 0.500 0.000 0.000
Li 0.500 0.500 0.500
Sc 0.000 0.000 0.000

Energy of formation from the pure elements = 0.160 eV per atom
Space group = No. 221
Uncorrected energy = -4.6045 eV/atom

***

Record 9
Entry from Alexandria via LeMat-Bulk: a relaxed Li5Sc2Pd5 crystal (PBE).

a = 4.223 Å, b = 5.628 Å, c = 9.149 Å
α = 109.38°, β = 90.00°, γ = 112.03°
Fractional coordinates of all 12 atoms:
Li 0.500 0.000 0.500
Li 0.343 0.687 0.998
Li 0.657 0.313 0.002
Li 0.381 0.761 0.733
Li 0.619 0.239 0.267
Pd 0.155 0.310 0.494
Pd 0.740 0.480 0.753
Pd 0.260 0.520 0.247
Pd 0.845 0.690 0.506
Pd 0.000 0.000 0.000
Sc 0.076 0.152 0.746
Sc 0.924 0.848 0.254

Energy of formation from the pure elements = -0.480 eV per atom
Space group = No. 12
Uncorrected energy = -4.4962 eV/atom

***

Record 10
Entry from Alexandria via LeMat-Bulk: a relaxed LiScPd4 crystal (PBE).

a = 5.261 Å, b = 5.261 Å, c = 5.261 Å
α = 60.00°, β = 60.00°, γ = 60.00°
Fractional coordinates of all 6 atoms:
Pd 0.625 0.625 0.125
Pd 0.625 0.125 0.625
Pd 0.625 0.625 0.625
Pd 0.125 0.625 0.625
Sc 0.000 0.000 0.000
Li 0.250 0.250 0.250

Energy of formation from the pure elements = -0.497 eV per atom
Space group = No. 216
Uncorrected energy = -5.3327 eV/atom

***

Record 11
Entry from Alexandria via LeMat-Bulk: a relaxed Li2ScPd6 crystal (PBE).

a = 4.354 Å, b = 8.107 Å, c = 5.143 Å
α = 120.26°, β = 115.08°, γ = 89.98°
Fractional coordinates of all 9 atoms:
Pd 0.868 0.536 0.736
Pd 0.470 0.790 0.940
Pd 0.792 0.138 0.585
Pd 0.530 0.210 0.060
Pd 0.132 0.464 0.264
Pd 0.208 0.862 0.415
Sc 0.000 0.000 0.000
Li 0.348 0.357 0.695
Li 0.652 0.643 0.305

Energy of formation from the pure elements = -0.487 eV per atom
Space group = No. 12
Uncorrected energy = -5.0777 eV/atom

***

Record 12
Entry from Alexandria via LeMat-Bulk: a relaxed LiSc2Pd6 crystal (PBE).

a = 2.985 Å, b = 7.406 Å, c = 7.971 Å
α = 117.68°, β = 100.94°, γ = 90.00°
Fractional coordinates of all 9 atoms:
Pd 0.166 0.362 0.332
Pd 0.500 0.705 0.000
Pd 0.834 0.638 0.668
Pd 0.500 0.295 0.000
Pd 0.834 0.030 0.668
Pd 0.166 0.970 0.332
Sc 0.338 0.339 0.677
Sc 0.662 0.661 0.323
Li 0.000 0.000 0.000

Energy of formation from the pure elements = -0.512 eV per atom
Space group = No. 12
Uncorrected energy = -5.5931 eV/atom